(1)
First-principles (PBE) data for a geometry-optimized DyTm6Co3 structure, as listed in the Alexandria database.

```
DyTm6Co3
1.0
5.287 -6.340 0.000
5.287 6.340 0.000
0.000 0.000 7.039
Dy Tm Co
2 12 6
Direct
0.172 0.828 0.500 Dy
0.828 0.172 0.000 Dy
0.083 0.462 0.729 Tm
0.127 0.208 0.370 Tm
0.208 0.127 0.870 Tm
0.273 0.727 0.042 Tm
0.462 0.083 0.229 Tm
0.475 0.525 0.373 Tm
0.525 0.475 0.873 Tm
0.538 0.917 0.729 Tm
0.727 0.273 0.542 Tm
0.792 0.873 0.370 Tm
0.873 0.792 0.870 Tm
0.917 0.538 0.229 Tm
0.080 0.920 0.166 Co
0.195 0.408 0.077 Co
0.408 0.195 0.577 Co
0.592 0.805 0.077 Co
0.805 0.592 0.577 Co
0.920 0.080 0.666 Co
```

Results
DOS(E_F) = 20.2 states/eV/cell
calculated formation energy = -0.1576 eV/atom
symmetry = Cmc2_1

(2)
First-principles (PBE) data for a geometry-optimized ZnOsSeBr2 structure, as listed in the Alexandria database.

```
ZnOsSeBr2
1.0
5.273 0.000 0.000
0.000 5.273 0.000
0.000 0.000 4.660
Zn Os Se Br
1 1 1 2
Direct
0.000 0.000 0.000 Zn
0.500 0.500 0.500 Os
0.500 0.500 0.000 Se
0.000 0.500 0.500 Br
0.500 0.000 0.500 Br
```

Results
DOS(E_F) = 2.5 states/eV/cell
ΔE to the lowest computed polymorph = 0.0000 eV per atom
formation energy from raw total energies = 0.442 eV/atom
symmetry = P4/mmm